Below is a relaxed structure of InSeCl, with properties calculated at the GGA-PBE level.

a = 4.759 Å, b = 4.759 Å, c = 4.759 Å
α = 60.00°, β = 60.00°, γ = 60.00°
Positions (direct):
In: 0.000 0.000 0.000
Se: 0.750 0.750 0.750
Cl: 0.250 0.250 0.250

## Properties
- VASP energy (eV per atom) = -3.146
- ΔE_f (raw) (eV/atom) = -0.4557
- volume (Å³ per cell) = 76.2
- SG = F-43m

***

Below is a relaxed structure of In3SeCl, with properties calculated at the GGA-PBE level.

a = 5.988 Å, b = 5.988 Å, c = 5.988 Å
α = 90.00°, β = 90.00°, γ = 90.00°
Positions (direct):
In: 0.000 0.000 0.500
In: 0.000 0.500 0.000
In: 0.500 0.000 0.000
Se: 0.000 0.000 0.000
Cl: 0.500 0.500 0.500

## Properties
- VASP energy (eV per atom) = -2.744
- ΔE_f (raw) (eV/atom) = -0.0349
- volume (Å³ per cell) = 214.7
- SG = Pm-3m

***

Below is a relaxed structure of In4SeCl5, with properties calculated at the GGA-PBE level.

a = 8.973 Å, b = 9.753 Å, c = 7.132 Å
α = 90.00°, β = 90.00°, γ = 90.00°
Positions (direct):
In: 0.051 0.250 0.073
In: 0.250 0.521 0.508
In: 0.250 0.979 0.508
In: 0.449 0.250 0.073
In: 0.551 0.750 0.927
In: 0.750 0.021 0.492
In: 0.750 0.479 0.492
In: 0.949 0.750 0.927
Se: 0.250 0.750 0.711
Se: 0.750 0.250 0.289
Cl: 0.043 0.544 0.260
Cl: 0.043 0.956 0.260
Cl: 0.250 0.250 0.509
Cl: 0.457 0.544 0.260
Cl: 0.457 0.956 0.260
Cl: 0.543 0.044 0.740
Cl: 0.543 0.456 0.740
Cl: 0.750 0.750 0.491
Cl: 0.957 0.044 0.740
Cl: 0.957 0.456 0.740

## Properties
- VASP energy (eV per atom) = -3.156
- ΔE_f (raw) (eV/atom) = -0.7885
- volume (Å³ per cell) = 624.1
- SG = Pmmn